# 1
This record from Alexandria via LeMat-Bulk describes an optimized crystal structure of KSr2UO6. The functional is PBE.

abc: 11.128 6.095 6.144
angles: 90.00 120.90 90.00
Space group C2/m (No. 12)
Symmetry-distinct sites (fractional):
K  0.000  0.000  0.000
Sr  0.249  0.000  0.711
U  0.000  0.500  0.500
O  0.090  0.271  0.378
O  0.188  0.500  0.838

Volume, A^3/atom: 17.9
Density, g/cm³: 5.09
E, eV per atom: -7.22
Total magnetic moment, μB per atom: 0.108
ΔE_f (raw), eV/atom: -2.669

---

# 2
This record from Alexandria via LeMat-Bulk describes an optimized crystal structure of Cs2TlCdH. The functional is PBE.

abc: 6.052 6.052 5.273
angles: 90.00 90.00 90.00
Space group P4/mmm (No. 123)
Symmetry-distinct sites (fractional):
Cs  0.000  0.500  0.000
Tl  0.000  0.000  0.500
Cd  0.500  0.500  0.500
H  0.000  0.000  0.000

Volume, A^3/atom: 38.6
Density, g/cm³: 5.02
E, eV per atom: -1.61
Total magnetic moment, μB per atom: 0.000